# 1
Crystalline TbEr2Pd2 at its relaxed geometry. Source: the Alexandria database, functional PBE.

Results
ΔE to the lowest computed polymorph	47	meV per atom
magnetic moment	0.00	μB per formula unit

a b c (Å): 5.427 4.603 10.299
angles (deg): 90.00 98.20 90.00
Space group P2_1/m (No. 11)
Unique sites:
Tb  0.089  0.250  0.285 (multiplicity 2)
Er  0.255  0.250  0.966 (multiplicity 2)
Er  0.389  0.250  0.619 (multiplicity 2)
Pd  0.149  0.750  0.472 (multiplicity 2)
Pd  0.265  0.750  0.137 (multiplicity 2)

---

# 2
Crystalline Na2ZnGa4Au3 at its relaxed geometry. Source: the Alexandria database, functional PBE.

Results
magnetic moment	0.00	μB per formula unit

a b c (Å): 4.193 4.193 11.687
angles (deg): 90.00 90.00 90.00
Space group P-4m2 (No. 115)
Unique sites:
Na  0.000  0.500  0.245 (multiplicity 2)
Zn  0.500  0.500  0.000 (multiplicity 1)
Ga  0.000  0.000  0.500 (multiplicity 1)
Ga  0.000  0.500  0.862 (multiplicity 2)
Ga  0.500  0.500  0.500 (multiplicity 1)
Au  0.000  0.000  0.000 (multiplicity 1)
Au  0.000  0.500  0.643 (multiplicity 2)

---

# 3
Crystalline PmHo3Sc at its relaxed geometry. Source: the Alexandria database, functional PBE.

Results
ΔE to the lowest computed polymorph	0	meV per atom
magnetic moment	0.00	μB per formula unit

a b c (Å): 6.186 5.561 9.427
angles (deg): 90.00 109.05 90.00
Space group P2_1/m (No. 11)
Unique sites:
Pm  0.068  0.250  0.298 (multiplicity 2)
Ho  0.141  0.750  0.095 (multiplicity 2)
Ho  0.273  0.250  0.710 (multiplicity 2)
Ho  0.336  0.750  0.504 (multiplicity 2)
Sc  0.465  0.250  0.095 (multiplicity 2)

---

# 4
Crystalline La4Tl2CdGa at its relaxed geometry. Source: the Alexandria database, functional PBE.

Results
magnetic moment	0.00	μB per formula unit

a b c (Å): 5.5578 5.5578 27.1204
angles (deg): 90.00 90.00 120.00
Space group R-3m (No. 166, hexagonal axes)
Unique sites:
La  0.0000  0.0000  0.1183 (multiplicity 6)
La  0.0000  0.0000  0.3688 (multiplicity 6)
Tl  0.0000  0.0000  0.2424 (multiplicity 6)
Cd  0.0000  0.0000  0.5000 (multiplicity 3)
Ga  0.0000  0.0000  0.0000 (multiplicity 3)

---

Number 1: electronic total energy -5.5226 eV per atom. Number 2: electronic total energy -2.8326 eV per atom. Number 3: electronic total energy -4.9353 eV per atom. Number 4: electronic total energy -3.9809 eV per atom.